w | Computed, not measured: a relaxed structure of ZrTlI2 at the PBE level of DFT. Values from VASP.

Summary:
SG ... Fm-3m

Structure (Quantum ESPRESSO input):
```
&SYSTEM
  ibrav = 0, nat = 4, ntyp = 3
/
ATOMIC_SPECIES
I 126.90 I.upf
Zr 91.22 Zr.upf
Tl 204.38 Tl.upf
ATOMIC_POSITIONS angstrom
I 5.7926 5.7926 5.7926
Zr 0.0000 0.0000 0.0000
Tl 3.8617 3.8617 3.8617
I 1.9309 1.9309 1.9309
CELL_PARAMETERS angstrom
0.0000 3.8617 3.8617
3.8617 0.0000 3.8617
3.8617 3.8617 0.0000
```

***

x | Computed, not measured: a relaxed structure of ZrTlI2 at the PBE level of DFT. Values from VASP.

Summary:
SG ... I-42d

Structure (Quantum ESPRESSO input):
```
&SYSTEM
  ibrav = 0, nat = 8, ntyp = 3
/
ATOMIC_SPECIES
Tl 204.38 Tl.upf
Zr 91.22 Zr.upf
I 126.90 I.upf
ATOMIC_POSITIONS angstrom
Tl 0.0000 0.0000 0.0000
Zr 5.1369 10.2737 1.5469
I 7.7053 9.1328 2.3203
I 3.9959 7.7053 0.7734
Tl 10.2737 5.1369 1.5469
Zr 5.1369 5.1369 0.0000
I 6.2778 2.5684 0.7734
I 12.8422 11.4147 2.3203
CELL_PARAMETERS angstrom
10.2737 0.0000 0.0000
0.0000 10.2737 0.0000
5.1369 5.1369 3.0938
```

***

Which of them is the least stable? Correct choice: w.

***

w | Computed, not measured: a relaxed structure of ZrTl2I at the PBE level of DFT. Values from VASP.

Summary:
SG ... I-42d

Structure (Quantum ESPRESSO input):
```
&SYSTEM
  ibrav = 0, nat = 8, ntyp = 3
/
ATOMIC_SPECIES
Tl 204.38 Tl.upf
Zr 91.22 Zr.upf
I 126.90 I.upf
ATOMIC_POSITIONS angstrom
Tl 3.2244 1.0935 3.0265
Tl 1.1496 3.2805 3.0265
Tl 5.4674 5.4114 9.0796
Zr 2.1870 4.3740 6.0531
Tl 3.2805 3.3366 9.0796
I 0.0000 0.0000 0.0000
I 4.3740 2.1870 6.0531
Zr 2.1870 2.1870 0.0000
CELL_PARAMETERS angstrom
4.3740 0.0000 0.0000
0.0000 4.3740 0.0000
2.1870 2.1870 12.1062
```

***

x | Computed, not measured: a relaxed structure of ZrTl2I at the PBE level of DFT. Values from VASP.

Summary:
SG ... Fm-3m

Structure (Quantum ESPRESSO input):
```
&SYSTEM
  ibrav = 0, nat = 4, ntyp = 3
/
ATOMIC_SPECIES
Tl 204.38 Tl.upf
Zr 91.22 Zr.upf
I 126.90 I.upf
ATOMIC_POSITIONS angstrom
Tl -9.2724 -1.9691 3.6751
Zr 0.0000 0.0000 0.0000
Tl -3.0908 -0.6564 1.2250
I -6.1816 -1.3127 2.4501
CELL_PARAMETERS angstrom
-2.8592 -1.4415 4.5136
-5.0578 2.0780 0.8522
-4.4462 -3.2619 -0.4657
```

***

Which of them is the least stable? Correct choice: x.

***

w | Computed, not measured: a relaxed structure of Y2TmI at the PBE level of DFT. Values from VASP.

Summary:
SG ... R-3m

Structure (Quantum ESPRESSO input):
```
&SYSTEM
  ibrav = 0, nat = 4, ntyp = 3
/
ATOMIC_SPECIES
Y 88.91 Y.upf
I 126.90 I.upf
Tm 168.93 Tm.upf
ATOMIC_POSITIONS angstrom
Y 5.6107 3.2393 7.9435
Y 1.8702 1.0798 2.4772
I 0.0000 0.0000 0.0000
Tm 3.7404 2.1595 5.2103
CELL_PARAMETERS angstrom
3.7404 0.0000 0.0000
1.8702 3.2393 0.0000
1.8702 1.0798 10.4207
```

***

x | Computed, not measured: a relaxed structure of Y2TmI at the PBE level of DFT. Values from VASP.

Summary:
SG ... R3m

Structure (Quantum ESPRESSO input):
```
&SYSTEM
  ibrav = 0, nat = 4, ntyp = 3
/
ATOMIC_SPECIES
Tm 168.93 Tm.upf
Y 88.91 Y.upf
I 126.90 I.upf
ATOMIC_POSITIONS angstrom
Tm 3.7644 2.1734 5.1717
Y 1.8822 1.0867 2.4709
Y 1.8822 1.0867 7.8477
I 5.6466 3.2601 10.3258
CELL_PARAMETERS angstrom
3.7644 0.0000 0.0000
1.8822 3.2601 0.0000
1.8822 1.0867 10.3264
```

***

Which of them is the least stable? Correct choice: w.

***

w | Computed, not measured: a relaxed structure of YTmI at the PBE level of DFT. Values from VASP.

Summary:
SG ... Cmcm

Structure (Quantum ESPRESSO input):
```
&SYSTEM
  ibrav = 0, nat = 6, ntyp = 3
/
ATOMIC_SPECIES
Y 88.91 Y.upf
I 126.90 I.upf
Tm 168.93 Tm.upf
ATOMIC_POSITIONS angstrom
Y -3.1091 3.1676 6.0407
Y -0.1180 -1.8246 5.7115
I -1.2349 1.1692 4.0668
I -1.9922 0.1738 7.6854
Tm 0.4641 -0.6424 2.2775
Tm -3.6912 1.9853 9.4747
CELL_PARAMETERS angstrom
-2.1042 -4.3781 2.4346
2.7502 0.0834 2.5269
-3.8731 5.6376 6.7907
```

***

x | Computed, not measured: a relaxed structure of YTmI at the PBE level of DFT. Values from VASP.

Summary:
SG ... P3m1

Structure (Quantum ESPRESSO input):
```
&SYSTEM
  ibrav = 0, nat = 3, ntyp = 3
/
ATOMIC_SPECIES
I 126.90 I.upf
Tm 168.93 Tm.upf
Y 88.91 Y.upf
ATOMIC_POSITIONS angstrom
I -1.7783 2.3048 1.6018
Tm 0.0078 0.0385 0.0302
Y -0.4476 2.8661 4.5614
CELL_PARAMETERS angstrom
-3.1151 1.7127 -1.3818
-0.2764 -2.3125 3.0204
1.1734 5.8091 4.5549
```

***

Which of them is the least stable? Correct choice: w.